RbTlOs2 (PBE, relaxed); energy above the most stable polymorph in this dataset = 820 meV per atom; density of states at the Fermi level = 1.739 states/eV per atom
1.0
0.0000 3.4483 3.4483
3.4483 0.0000 3.4483
3.4483 3.4483 0.0000
Os Tl Rb
2 1 1
Direct
0.7500 0.7500 0.7500
0.2500 0.2500 0.2500
0.5000 0.5000 0.5000
0.0000 0.0000 0.0000